{
  "formula": "V2Tc4Os",
  "functional": "PBE-GGA",
  "state": "relaxed",
  "lattice_angstrom": [[4.6408, 0.0000, 0.0000], [0.0000, 4.6408, 0.0000], [0.0000, 0.0000, 12.1660]],
  "species": ["V", "V", "V", "V", "Tc", "Tc", "Tc", "Tc", "Tc", "Tc", "Tc", "Tc", "Os", "Os"],
  "fractional_positions": [[0.0000, 0.0000, 0.1210], [0.0000, 0.0000, 0.8790], [0.5000, 0.5000, 0.3790], [0.5000, 0.5000, 0.6210], [0.0000, 0.0000, 0.2917], [0.0000, 0.0000, 0.7083], [0.0000, 0.5000, 0.0000], [0.0000, 0.5000, 0.5000], [0.5000, 0.0000, 0.0000], [0.5000, 0.0000, 0.5000], [0.5000, 0.5000, 0.2083], [0.5000, 0.5000, 0.7917], [0.0000, 0.0000, 0.5000], [0.5000, 0.5000, 0.0000]],
  "total_magnetization_mub_per_cell": 0.99,
  "formation_energy_ev_per_atom": 1.406
}



{
  "formula": "TcOsW4",
  "functional": "PBE-GGA",
  "state": "relaxed",
  "lattice_angstrom": [[0.0000, 3.6555, 3.6555], [3.6555, 0.0000, 3.6555], [3.6555, 3.6555, 0.0000]],
  "species": ["Tc", "Os", "W", "W", "W", "W"],
  "fractional_positions": [[0.0000, 0.0000, 0.0000], [0.2500, 0.2500, 0.2500], [0.1241, 0.6253, 0.6253], [0.6253, 0.1241, 0.6253], [0.6253, 0.6253, 0.1241], [0.6253, 0.6253, 0.6253]],
  "total_magnetization_mub_per_cell": 0.00,
  "formation_energy_ev_per_atom": 0.463
}



{
  "formula": "Tc2Os2W",
  "functional": "PBE-GGA",
  "state": "relaxed",
  "lattice_angstrom": [[7.4213, 0.0000, 0.0000], [0.0000, 7.4213, 0.0000], [0.0000, 0.0000, 2.7915]],
  "species": ["Tc", "Tc", "Tc", "Tc", "Os", "Os", "Os", "Os", "W", "W"],
  "fractional_positions": [[0.1705, 0.3295, 0.0000], [0.3295, 0.8295, 0.0000], [0.6705, 0.1705, 0.0000], [0.8295, 0.6705, 0.0000], [0.1253, 0.6253, 0.5000], [0.3747, 0.1253, 0.5000], [0.6253, 0.8747, 0.5000], [0.8747, 0.3747, 0.5000], [0.0000, 0.0000, 0.5000], [0.5000, 0.5000, 0.5000]],
  "total_magnetization_mub_per_cell": 0.00,
  "formation_energy_ev_per_atom": 0.240
}



{
  "formula": "TcOsW",
  "functional": "PBE-GGA",
  "state": "relaxed",
  "lattice_angstrom": [[2.7621, 0.0000, 0.0000], [0.0000, 3.9126, 0.0000], [0.0000, 0.0000, 8.3748]],
  "species": ["Tc", "Tc", "Os", "Os", "W", "W"],
  "fractional_positions": [[0.0000, 0.0000, 0.0000], [0.5000, 0.5000, 0.5000], [0.0000, 0.0000, 0.3394], [0.5000, 0.5000, 0.8394], [0.0000, 0.0000, 0.6715], [0.5000, 0.5000, 0.1715]],
  "total_magnetization_mub_per_cell": 0.00,
  "formation_energy_ev_per_atom": 0.114,
  "relative_energy_mev_per_atom": 57
}



{
  "formula": "TcOsW2",
  "functional": "PBE-GGA",
  "state": "relaxed",
  "lattice_angstrom": [[2.8012, 0.0000, 0.0000], [0.0000, 3.9171, 0.0000], [0.0000, 0.0000, 5.6003]],
  "species": ["Tc", "Os", "W", "W"],
  "fractional_positions": [[0.0000, 0.0000, 0.0000], [0.0000, 0.0000, 0.5000], [0.5000, 0.5000, 0.2509], [0.5000, 0.5000, 0.7491]],
  "total_magnetization_mub_per_cell": 0.00,
  "formation_energy_ev_per_atom": 0.124,
  "relative_energy_mev_per_atom": 1
}



{
  "formula": "TcOsW2",
  "functional": "PBE-GGA",
  "state": "relaxed",
  "lattice_angstrom": [[2.7365, 0.0000, 0.0000], [0.0000, 4.3978, 0.0000], [-0.7730, 0.0000, 5.1233]],
  "species": ["Tc", "Os", "W", "W"],
  "fractional_positions": [[0.0000, 0.0000, 0.0000], [0.5000, 0.0000, 0.5000], [0.2320, 0.5000, 0.7496], [0.7680, 0.5000, 0.2504]],
  "total_magnetization_mub_per_cell": 0.00,
  "formation_energy_ev_per_atom": 0.218,
  "relative_energy_mev_per_atom": 95
}



{
  "formula": "Tc2Os3W",
  "functional": "PBE-GGA",
  "state": "relaxed",
  "lattice_angstrom": [[4.7718, 0.0000, 0.0000], [0.0254, 5.4990, 0.0000], [2.3683, 1.3626, 6.7530]],
  "species": ["Tc", "Tc", "Tc", "Tc", "Os", "Os", "Os", "Os", "Os", "Os", "W", "W"],
  "fractional_positions": [[0.0796, 0.2129, 0.1590], [0.0862, 0.7042, 0.1642], [0.9138, 0.2958, 0.8358], [0.9204, 0.7871, 0.8410], [0.2543, 0.6310, 0.4985], [0.4094, 0.5354, 0.8342], [0.4151, 0.0427, 0.8339], [0.5849, 0.9573, 0.1661], [0.5906, 0.4646, 0.1658], [0.7457, 0.3690, 0.5015], [0.2556, 0.1373, 0.4938], [0.7444, 0.8627, 0.5062]],
  "total_magnetization_mub_per_cell": 0.00,
  "formation_energy_ev_per_atom": 0.074
}



{
  "formula": "TcOsW",
  "functional": "PBE-GGA",
  "state": "relaxed",
  "lattice_angstrom": [[2.7564, 0.0000, 0.0000], [0.0000, 2.7564, 0.0000], [0.0000, 0.0000, 11.9481]],
  "species": ["Tc", "Tc", "Os", "Os", "W", "W"],
  "fractional_positions": [[0.0000, 0.0000, 0.0000], [0.5000, 0.5000, 0.5000], [0.0000, 0.0000, 0.3497], [0.5000, 0.5000, 0.8497], [0.0000, 0.0000, 0.6787], [0.5000, 0.5000, 0.1787]],
  "total_magnetization_mub_per_cell": 0.00,
  "formation_energy_ev_per_atom": 0.057,
  "relative_energy_mev_per_atom": 0
}



{
  "formula": "TcOsW",
  "functional": "PBE-GGA",
  "state": "relaxed",
  "lattice_angstrom": [[2.7707, 0.0000, 0.0000], [-1.3853, 2.3995, 0.0000], [0.0000, 0.0000, 6.8174]],
  "species": ["Tc", "Os", "W"],
  "fractional_positions": [[0.0000, 0.0000, 0.0000], [0.3333, 0.6667, 0.6785], [0.6667, 0.3333, 0.3449]],
  "total_magnetization_mub_per_cell": 0.00,
  "formation_energy_ev_per_atom": 0.160,
  "relative_energy_mev_per_atom": 103
}



{
  "formula": "TcOsW2",
  "functional": "PBE-GGA",
  "state": "relaxed",
  "lattice_angstrom": [[3.9784, 0.0000, 0.0000], [0.0000, 3.9784, 0.0000], [0.0000, 0.0000, 7.7699]],
  "species": ["Tc", "Tc", "Os", "Os", "W", "W", "W", "W"],
  "fractional_positions": [[0.0000, 0.0000, 0.0000], [0.5000, 0.5000, 0.5000], [0.0000, 0.0000, 0.5000], [0.5000, 0.5000, 0.0000], [0.0000, 0.5000, 0.2500], [0.0000, 0.5000, 0.7500], [0.5000, 0.0000, 0.2500], [0.5000, 0.0000, 0.7500]],
  "total_magnetization_mub_per_cell": 0.00,
  "formation_energy_ev_per_atom": 0.125,
  "relative_energy_mev_per_atom": 2
}



{
  "formula": "TcOsW2",
  "functional": "PBE-GGA",
  "state": "relaxed",
  "lattice_angstrom": [[2.7822, 0.0000, 0.0000], [-1.3911, 2.4095, 0.0000], [0.0000, 0.0000, 27.5442]],
  "species": ["Tc", "Tc", "Tc", "Os", "Os", "Os", "W", "W", "W", "W", "W", "W"],
  "fractional_positions": [[0.0000, 0.0000, 0.0000], [0.3333, 0.6667, 0.6667], [0.6667, 0.3333, 0.3333], [0.0000, 0.0000, 0.5000], [0.3333, 0.6667, 0.1667], [0.6667, 0.3333, 0.8333], [0.0000, 0.0000, 0.2496], [0.0000, 0.0000, 0.7504], [0.3333, 0.6667, 0.4170], [0.3333, 0.6667, 0.9163], [0.6667, 0.3333, 0.0837], [0.6667, 0.3333, 0.5830]],
  "total_magnetization_mub_per_cell": 0.00,
  "formation_energy_ev_per_atom": 0.221,
  "relative_energy_mev_per_atom": 97
}



{
  "formula": "TcOsW2",
  "functional": "PBE-GGA",
  "state": "relaxed",
  "lattice_angstrom": [[3.1330, 0.0000, 0.0000], [0.0000, 4.5027, 0.0000], [0.0000, 0.0000, 8.7467]],
  "species": ["Tc", "Tc", "Os", "Os", "W", "W", "W", "W"],
  "fractional_positions": [[0.0000, 0.0000, 0.0000], [0.5000, 0.5000, 0.0000], [0.0000, 0.0000, 0.5000], [0.5000, 0.5000, 0.5000], [0.0000, 0.5000, 0.2499], [0.0000, 0.5000, 0.7501], [0.5000, 0.0000, 0.2499], [0.5000, 0.0000, 0.7501]],
  "total_magnetization_mub_per_cell": 0.00,
  "formation_energy_ev_per_atom": 0.232,
  "relative_energy_mev_per_atom": 108
}



| no. | VASP energy (eV/atom) |
| --- | --- |
| 1 | -8.73 |
| 2 | -11.77 |
| 3 | -10.99 |
| 4 | -11.40 |
| 5 | -11.75 |
| 6 | -11.66 |
| 7 | -11.16 |
| 8 | -11.46 |
| 9 | -11.36 |
| 10 | -11.75 |
| 11 | -11.65 |
| 12 | -11.64 |